ScCrPd2: relaxed, GGA-PBE.

Cell: 4.0293 4.0293 9.3535 Å, 77.56 77.56 90.00°
Last column: magnetic moment on the atom in μB.
Element x y z (fractional)
Sc  0.5000  0.5000  0.0000  0.03
Sc  0.2500  0.7500  0.5000  0.03
Cr  0.0000  0.0000  0.0000  3.37
Cr  0.7500  0.2500  0.5000  3.36
Pd  0.6343  0.1250  0.2500  0.04
Pd  0.1157  0.6250  0.2500  0.04
Pd  0.3750  0.3657  0.7500  0.05
Pd  0.8750  0.8843  0.7500  0.05

Excess energy over the best structure of this formula in the dataset = 520 meV/atom
Calculated formation energy = 0.038 eV/atom

***

ScCrPd2: relaxed, GGA-PBE.

Cell: 4.5504 4.5504 4.5504 Å, 60.00 60.00 60.00°
Last column: magnetic moment on the atom in μB.
Element x y z (fractional)
Sc  0.0000  0.0000  0.0000  0.01
Cr  0.5000  0.5000  0.5000  3.47
Pd  0.2500  0.2500  0.2500  0.14
Pd  0.7500  0.7500  0.7500  0.14

Excess energy over the best structure of this formula in the dataset = 36 meV/atom
Calculated formation energy = -0.446 eV/atom

***

Sc3CrPd12: relaxed, GGA-PBE.

Cell: 3.9832 3.9832 15.9323 Å, 90.00 90.00 90.00°
Last column: magnetic moment on the atom in μB.
Element x y z (fractional)
Sc  0.0000  0.0000  0.2477  -0.01
Sc  0.0000  0.0000  0.5000  0.01
Sc  0.0000  0.0000  0.7523  -0.01
Cr  0.0000  0.0000  0.0000  2.99
Pd  0.5000  0.5000  0.0000  -0.08
Pd  0.5000  0.5000  0.2466  -0.03
Pd  0.5000  0.5000  0.5000  -0.01
Pd  0.5000  0.5000  0.7534  -0.03
Pd  0.5000  0.0000  0.1200  -0.06
Pd  0.5000  0.0000  0.3733  -0.01
Pd  0.5000  0.0000  0.6267  -0.01
Pd  0.5000  0.0000  0.8800  -0.06
Pd  0.0000  0.5000  0.1200  -0.06
Pd  0.0000  0.5000  0.3733  -0.01
Pd  0.0000  0.5000  0.6267  -0.01
Pd  0.0000  0.5000  0.8800  -0.06

Calculated formation energy = -0.647 eV/atom